First-principles (PBE+U) data for VSiPd2F after structural relaxation, as listed in the Alexandria database.

Geometry as POSCAR:
```
VSiPd2F
1.0
4.9020 0.0000 0.0000
0.0000 4.9020 0.0000
0.0000 0.0000 3.7208
V Si Pd F
1 1 2 1
Direct
0.0000 0.0000 0.0000
0.5000 0.5000 0.5000
0.0000 0.5000 0.0000
0.5000 0.0000 0.0000
0.0000 0.0000 0.5000
```

Calculated values
N(E_F) = 0.65 states/eV/atom
Raw total energy = -4.92 eV per atom
Size of the total moment = 2.29 μB/cell
SG = P4/mmm (123)